# PBE-GGA Pm6SiP2Br3, relaxed
data_Pm6SiP2Br3
_space_group_name_H-M_alt 'C 1 2/m 1'
_space_group_IT_number 12
_space_group_name_Hall '-C 2y'
_cell_length_a 18.905
_cell_length_b 4.164
_cell_length_c 8.732
_cell_angle_alpha 90.00
_cell_angle_beta 106.88
_cell_angle_gamma 90.00
loop_
_atom_site_label
_atom_site_type_symbol
_atom_site_fract_x
_atom_site_fract_y
_atom_site_fract_z
_atom_site_occupancy
Pm1 Pm 0.012 0.000 0.228 1
Pm2 Pm 0.157 0.500 0.111 1
Pm3 Pm 0.178 0.500 0.555 1
Si1 Si 0.000 0.500 0.000 1
P1 P 0.168 0.000 0.334 1
Br1 Br 0.000 0.500 0.500 1
Br2 Br 0.166 0.000 0.832 1
# ρ, g/cm³: 6.1
# V, Å³/cell: 657.73
# Formation energy from raw total energies, kcal/mol of atoms: -31.47
# DOS at the Fermi energy, states/eV/atom: 0.425